# 1
An optimized crystal structure of Zr4Pt3, computed with PBE-GGA.

Structure (POSCAR):
```
Zr4Pt3
1.0
-2.2979 -4.9170 5.8026
3.4811 0.3712 7.1323
-3.3615 3.3041 1.4687
Pt Zr
6 8
Direct
0.7160 0.4274 0.0000 Pt
0.2846 0.5708 0.0000 Pt
0.4280 0.8589 0.0000 Pt
0.5244 0.3792 0.5000 Pt
0.6678 0.6673 0.5000 Pt
0.2364 0.8107 0.5000 Pt
0.5719 0.1806 0.0000 Zr
0.1429 0.2857 0.0000 Zr
0.8190 0.7146 0.0000 Zr
0.0378 0.9618 0.0000 Zr
0.3806 0.0575 0.5000 Zr
0.9146 0.2762 0.5000 Zr
0.1333 0.5235 0.5000 Zr
0.8095 0.9524 0.5000 Zr
```

Computed properties:
Its energy relative to the elements is -0.5592 eV/atom. As for the space group: No. 176. For the energy above the most stable polymorph in this dataset, the calculation gives 1.32 eV/f.u. The value obtained for the total energy is -8.0386 eV per atom.

***

# 2
An optimized crystal structure of UReB, computed with PBE-GGA.

Structure (POSCAR):
```
UReB
1.0
3.2373 -2.4722 0.1702
-0.0064 -3.5124 -2.0697
2.3985 -0.4456 -3.2664
B Re U
1 1 1
Direct
0.0000 0.0000 0.0000 B
0.2500 0.2500 0.2500 Re
0.7500 0.7500 0.7500 U
```

Computed properties:
As for the space group: No. 216. For the energy above the most stable polymorph in this dataset, the calculation gives 0.00 eV/f.u. The value obtained for the total energy is -9.7527 eV per atom.

***

# 3
An optimized crystal structure of ScIn2Fe, computed with PBE-GGA.

Structure (POSCAR):
```
ScIn2Fe
1.0
0.5313 0.6134 4.7246
1.3501 4.2634 1.7266
-3.1261 2.6997 2.4330
Fe In Sc
1 2 1
Direct
0.7500 0.7500 0.7500 Fe
0.0000 0.0000 0.0000 In
0.2500 0.2500 0.2500 In
0.5000 0.5000 0.5000 Sc
```

Computed properties:
As for the space group: No. 216. The value obtained for the total energy is -4.9505 eV per atom.

***

Volume, record by record: 19.279, 15.971, 19.474 A^3/atom